No. 1
! La3Br | the Alexandria database | PBE | optimized geometry; values from VASP
! **Energy**: -18.0 eV for the cell shown
! **Formation energy from raw total energies**: -0.387 eV per atom
&SYSTEM
  ibrav = 0, nat = 4, ntyp = 2
/
ATOMIC_SPECIES
Br 79.90 Br.upf
La 138.91 La.upf
CELL_PARAMETERS angstrom
-5.685 -1.714 0.928
2.790 -5.218 -1.054
0.682 -0.349 3.535
ATOMIC_POSITIONS crystal
Br 0.000 0.000 0.000
La 0.500 0.000 0.500
La 0.000 0.500 0.500
La 0.500 0.500 0.000

=====

No. 2
! LaBr | the Alexandria database | PBE | optimized geometry; values from VASP
! **Energy**: -17.9 eV for the cell shown
! **Formation energy from raw total energies**: -1.163 eV per atom
&SYSTEM
  ibrav = 0, nat = 4, ntyp = 2
/
ATOMIC_SPECIES
La 138.91 La.upf
Br 79.90 Br.upf
CELL_PARAMETERS angstrom
-3.235 -0.878 -1.933
1.153 -2.220 2.952
-5.557 5.910 6.614
ATOMIC_POSITIONS crystal
La 0.333 0.667 0.686
Br 0.333 0.667 0.396
Br 0.667 0.333 0.896
La 0.667 0.333 0.186

=====

No. 3
! LaBr | the Alexandria database | PBE | optimized geometry; values from VASP
! **Energy**: -18.2 eV for the cell shown
! **Formation energy from raw total energies**: -1.259 eV per atom
&SYSTEM
  ibrav = 0, nat = 4, ntyp = 2
/
ATOMIC_SPECIES
Br 79.90 Br.upf
La 138.91 La.upf
CELL_PARAMETERS angstrom
-4.063 -1.697 1.057
-0.782 -1.873 -6.013
1.714 -3.555 0.884
ATOMIC_POSITIONS crystal
Br 0.500 0.198 0.000
La 0.000 0.306 0.500
La 0.500 0.694 0.000
Br 0.000 0.802 0.500